LiOs3S5 | the Open Quantum Materials Database | PBE-GGA | relaxed; DFT total energy = -55.7 eV per cell; space group = P6/mmm, No. 191
1.0
5.6812 0.0000 0.0000
-2.8406 4.9201 0.0000
0.0000 0.0000 6.5690
Li Os S
1 3 5
direct
0.0000 0.0000 0.0000
0.0000 0.5000 0.5000
0.5000 0.0000 0.5000
0.5000 0.5000 0.5000
0.0000 0.0000 0.5000
0.3333 0.6667 0.2460
0.3333 0.6667 0.7540
0.6667 0.3333 0.2460
0.6667 0.3333 0.7540



LiSm2OsS6 | the Open Quantum Materials Database | PBE-GGA | relaxed; DFT total energy = -118.3 eV per cell; space group = P2_1/c, No. 14
1.0
6.2533 0.0000 0.0000
0.0000 6.9320 0.0000
-6.2136 0.0000 9.0732
Li Sm Os S
2 4 2 12
direct
0.0000 0.0000 0.0000
0.0000 0.5000 0.5000
0.2952 0.1123 0.7478
0.2952 0.3877 0.2478
0.7048 0.6123 0.7522
0.7048 0.8877 0.2522
0.5000 0.0000 0.5000
0.5000 0.5000 0.0000
0.1311 0.0166 0.2547
0.1311 0.4834 0.7547
0.2332 0.6771 0.0558
0.2332 0.8229 0.5558
0.3912 0.1945 0.0519
0.3912 0.3055 0.5519
0.6088 0.6945 0.4481
0.6088 0.8055 0.9481
0.7668 0.1771 0.4442
0.7668 0.3229 0.9442
0.8689 0.5166 0.2453
0.8689 0.9834 0.7453



LiSb5Os3 | the Open Quantum Materials Database | PBE-GGA | relaxed; DFT total energy = -53.1 eV per cell; space group = P6/mmm, No. 191
1.0
5.6640 0.0000 0.0000
-2.8320 4.9052 0.0000
0.0000 0.0000 8.0653
Li Sb Os
1 5 3
direct
0.0000 0.0000 0.0000
0.0000 0.0000 0.5000
0.3333 0.6667 0.2295
0.3333 0.6667 0.7705
0.6667 0.3333 0.2295
0.6667 0.3333 0.7705
0.0000 0.5000 0.5000
0.5000 0.0000 0.5000
0.5000 0.5000 0.5000